Compound: BaSc2Sb
Source: Alexandria
Functional: GGA-PBE
Structure: optimized geometry

Geometry as POSCAR:
```
BaSc2Sb
1.0
3.947 0.000 0.000
0.000 3.947 0.000
0.000 0.000 8.026
Ba Sb Sc
1 1 2
Direct
0.000 0.000 0.524
0.500 0.500 0.820
0.000 0.000 0.973
0.500 0.500 0.183
```

## Properties
* raw formation energy: -34.0 kJ/mol of atoms
* SG: No. 99
* magnetic moment: 0.5 μB per cell
* VASP energy: -0.185 Ha/atom